This record from the Alexandria database describes crystalline NaPuS at its relaxed geometry. The functional is GGA-PBE.

Properties
- E_form (uncorrected) (eV per atom) = -0.586
- E_tot (eV/atom) = -7.179

Cell and atoms, written as CIF:
```
data_NaPuS
_space_group_name_H-M_alt 'P 1'
_space_group_IT_number 1
_space_group_name_Hall 'P 1'
_cell_length_a 7.579
_cell_length_b 9.524
_cell_length_c 7.294
_cell_angle_alpha 130.76
_cell_angle_beta 90.00
_cell_angle_gamma 90.00
loop_
_atom_site_label
_atom_site_fract_x
_atom_site_fract_y
_atom_site_fract_z
_atom_site_occupancy
Na1 0.000 0.815 0.630 1
Na2 0.500 0.315 0.630 1
Na3 0.000 0.185 0.370 1
Na4 0.500 0.685 0.370 1
Pu1 0.584 0.857 0.000 1
Pu2 0.084 0.643 0.000 1
Pu3 0.916 0.357 0.000 1
Pu4 0.416 0.143 0.000 1
S1 0.727 0.602 0.000 1
S2 0.227 0.898 0.000 1
S3 0.773 0.102 0.000 1
S4 0.273 0.398 0.000 1
```